No. 1
Here is an optimized crystal structure of NdCu2Ni2Pt from the Open Quantum Materials Database. Energies are from GGA-PBE.

a = 4.954 Å, b = 9.216 Å, c = 4.035 Å
α = 90.00°, β = 90.00°, γ = 90.00°
Fractional coordinates of all 12 atoms:
Nd 0.000 0.000 0.000
Nd 0.500 0.500 0.000
Cu 0.000 0.320 0.000
Cu 0.000 0.680 0.000
Cu 0.500 0.180 0.000
Cu 0.500 0.820 0.000
Ni 0.250 0.250 0.500
Ni 0.250 0.750 0.500
Ni 0.750 0.250 0.500
Ni 0.750 0.750 0.500
Pt 0.000 0.500 0.500
Pt 0.500 0.000 0.500

Symmetry: No. 65
E, eV per cell: -64.0
ΔE_f, meV/atom: -435
Crystal system: orthorhombic

No. 2
Here is an optimized crystal structure of KAgTe3Pd from the Open Quantum Materials Database. Energies are from GGA-PBE.

a = 7.994 Å, b = 7.994 Å, c = 11.097 Å
α = 90.00°, β = 90.00°, γ = 150.43°
Fractional coordinates of all 12 atoms:
K 0.239 0.761 0.750
K 0.761 0.239 0.250
Ag 0.444 0.556 0.250
Ag 0.556 0.444 0.750
Te 0.068 0.932 0.250
Te 0.382 0.618 0.016
Te 0.382 0.618 0.484
Te 0.618 0.382 0.516
Te 0.618 0.382 0.984
Te 0.932 0.068 0.750
Pd 0.000 0.000 0.000
Pd 0.000 0.000 0.500

Symmetry: No. 63
E, eV per cell: -41.2
Crystal system: orthorhombic

No. 3
Here is an optimized crystal structure of Gd3Mg3ZnPd2 from the Open Quantum Materials Database. Energies are from GGA-PBE.

a = 7.554 Å, b = 7.554 Å, c = 4.082 Å
α = 90.00°, β = 90.00°, γ = 120.00°
Fractional coordinates of all 9 atoms:
Gd 0.000 0.417 0.000
Gd 0.417 0.000 0.000
Gd 0.583 0.583 0.000
Mg 0.000 0.753 0.500
Mg 0.247 0.247 0.500
Mg 0.753 0.000 0.500
Zn 0.000 0.000 0.000
Pd 0.333 0.667 0.500
Pd 0.667 0.333 0.500

Symmetry: No. 189
E, eV per cell: -35.1
Crystal system: hexagonal

No. 4
Here is an optimized crystal structure of Hf2Al2Cu3Pd from the Open Quantum Materials Database. Energies are from GGA-PBE.

a = 4.413 Å, b = 4.413 Å, c = 6.270 Å
α = 90.00°, β = 90.00°, γ = 90.00°
Fractional coordinates of all 8 atoms:
Hf 0.000 0.500 0.243
Hf 0.500 0.000 0.757
Al 0.000 0.500 0.752
Al 0.500 0.000 0.248
Cu 0.000 0.000 0.000
Cu 0.500 0.500 0.000
Cu 0.500 0.500 0.500
Pd 0.000 0.000 0.500

Symmetry: No. 115
E, eV per cell: -47.4
Crystal system: tetragonal

No. 5
Here is an optimized crystal structure of Be2Nb2Re from the Open Quantum Materials Database. Energies are from GGA-PBE.

a = 6.344 Å, b = 6.344 Å, c = 3.299 Å
α = 90.00°, β = 90.00°, γ = 90.00°
Fractional coordinates of all 10 atoms:
Be 0.119 0.381 0.000
Be 0.381 0.881 0.000
Be 0.619 0.119 0.000
Be 0.881 0.619 0.000
Nb 0.178 0.678 0.500
Nb 0.322 0.178 0.500
Nb 0.678 0.822 0.500
Nb 0.822 0.322 0.500
Re 0.000 0.000 0.000
Re 0.500 0.500 0.000

Symmetry: No. 127
E, eV per cell: -83.5
Crystal system: tetragonal

No. 6
Here is an optimized crystal structure of ReTcO6 from the Open Quantum Materials Database. Energies are from GGA-PBE.

a = 5.324 Å, b = 5.324 Å, c = 5.324 Å
α = 60.01°, β = 60.01°, γ = 60.01°
Fractional coordinates of all 8 atoms:
Re 0.000 0.000 0.000
Tc 0.500 0.500 0.500
O 0.248 0.751 0.251
O 0.249 0.749 0.752
O 0.251 0.248 0.751
O 0.749 0.752 0.249
O 0.751 0.251 0.248
O 0.752 0.249 0.749

Symmetry: No. 148
E, eV per cell: -64.1
Crystal system: trigonal

No. 7
Here is an optimized crystal structure of MgNpB from the Open Quantum Materials Database. Energies are from GGA-PBE.

a = 6.133 Å, b = 6.133 Å, c = 6.133 Å
α = 90.00°, β = 90.00°, γ = 90.00°
Fractional coordinates of all 12 atoms:
Mg 0.000 0.000 0.000
Mg 0.000 0.500 0.500
Mg 0.500 0.000 0.500
Mg 0.500 0.500 0.000
Np 0.250 0.250 0.250
Np 0.250 0.750 0.750
Np 0.750 0.250 0.750
Np 0.750 0.750 0.250
B 0.250 0.250 0.750
B 0.250 0.750 0.250
B 0.750 0.250 0.250
B 0.750 0.750 0.750

Symmetry: No. 216
E, eV per cell: -67.5
Crystal system: cubic

No. 8
Here is an optimized crystal structure of NdSiBi from the Open Quantum Materials Database. Energies are from GGA-PBE.

a = 7.248 Å, b = 7.248 Å, c = 7.248 Å
α = 90.00°, β = 90.00°, γ = 90.00°
Fractional coordinates of all 12 atoms:
Nd 0.000 0.000 0.000
Nd 0.000 0.500 0.500
Nd 0.500 0.000 0.500
Nd 0.500 0.500 0.000
Si 0.250 0.250 0.250
Si 0.250 0.750 0.750
Si 0.750 0.250 0.750
Si 0.750 0.750 0.250
Bi 0.250 0.250 0.750
Bi 0.250 0.750 0.250
Bi 0.750 0.250 0.250
Bi 0.750 0.750 0.750

Symmetry: No. 216
E, eV per cell: -55.7
Crystal system: cubic

No. 9
Here is an optimized crystal structure of MgAgPd from the Open Quantum Materials Database. Energies are from GGA-PBE.

a = 8.740 Å, b = 4.131 Å, c = 5.673 Å
α = 90.00°, β = 103.86°, γ = 90.00°
Fractional coordinates of all 12 atoms:
Mg 0.000 0.000 0.000
Mg 0.184 0.500 0.352
Mg 0.500 0.500 0.000
Mg 0.684 0.000 0.352
Ag 0.012 0.000 0.508
Ag 0.341 0.000 0.683
Ag 0.512 0.500 0.508
Ag 0.841 0.500 0.683
Pd 0.171 0.500 0.860
Pd 0.343 0.000 0.182
Pd 0.671 0.000 0.860
Pd 0.843 0.500 0.182

Symmetry: No. 8
E, eV per cell: -43.6
Crystal system: monoclinic

No. 10
Here is an optimized crystal structure of Lu2AlPt from the Open Quantum Materials Database. Energies are from GGA-PBE.

a = 6.831 Å, b = 6.831 Å, c = 6.831 Å
α = 90.00°, β = 90.00°, γ = 90.00°
Fractional coordinates of all 16 atoms:
Lu 0.000 0.000 0.000
Lu 0.000 0.500 0.500
Lu 0.250 0.250 0.250
Lu 0.250 0.750 0.750
Lu 0.500 0.000 0.500
Lu 0.500 0.500 0.000
Lu 0.750 0.250 0.750
Lu 0.750 0.750 0.250
Al 0.000 0.000 0.500
Al 0.000 0.500 0.000
Al 0.500 0.000 0.000
Al 0.500 0.500 0.500
Pt 0.250 0.250 0.750
Pt 0.250 0.750 0.250
Pt 0.750 0.250 0.250
Pt 0.750 0.750 0.750

Symmetry: No. 216
E, eV per cell: -83.4
Crystal system: cubic

No. 11
Here is an optimized crystal structure of Te2Os from the Open Quantum Materials Database. Energies are from GGA-PBE.

a = 3.726 Å, b = 3.726 Å, c = 19.880 Å
α = 90.00°, β = 90.00°, γ = 120.00°
Fractional coordinates of all 9 atoms:
Te 0.000 0.000 0.000
Te 0.000 0.000 0.161
Te 0.333 0.667 0.667
Te 0.333 0.667 0.828
Te 0.667 0.333 0.333
Te 0.667 0.333 0.495
Os 0.000 0.000 0.747
Os 0.333 0.667 0.414
Os 0.667 0.333 0.081

Symmetry: No. 160
E, eV per cell: -50.6
Crystal system: trigonal

No. 12
Here is an optimized crystal structure of BaCu9Ge4 from the Open Quantum Materials Database. Energies are from GGA-PBE.

a = 8.454 Å, b = 8.454 Å, c = 8.454 Å
α = 120.60°, β = 120.60°, γ = 88.97°
Fractional coordinates of all 28 atoms:
Ba 0.250 0.250 0.000
Ba 0.750 0.750 0.000
Cu 0.000 0.500 0.500
Cu 0.061 0.561 0.266
Cu 0.062 0.796 0.857
Cu 0.204 0.062 0.266
Cu 0.205 0.939 0.500
Cu 0.295 0.795 0.734
Cu 0.296 0.562 0.857
Cu 0.438 0.296 0.734
Cu 0.439 0.705 0.500
Cu 0.500 0.000 0.500
Cu 0.561 0.295 0.500
Cu 0.562 0.704 0.266
Cu 0.704 0.438 0.143
Cu 0.705 0.205 0.266
Cu 0.795 0.061 0.500
Cu 0.796 0.938 0.734
Cu 0.938 0.204 0.143
Cu 0.939 0.439 0.734
Ge 0.058 0.201 0.500
Ge 0.201 0.701 0.143
Ge 0.299 0.442 0.500
Ge 0.442 0.942 0.143
Ge 0.558 0.058 0.857
Ge 0.701 0.558 0.500
Ge 0.799 0.299 0.857
Ge 0.942 0.799 0.500

Symmetry: No. 140
E, eV per cell: -112.0
Crystal system: tetragonal

No. 13
Here is an optimized crystal structure of TmHfNp from the Open Quantum Materials Database. Energies are from GGA-PBE.

a = 6.926 Å, b = 6.926 Å, c = 6.926 Å
α = 90.00°, β = 90.00°, γ = 90.00°
Fractional coordinates of all 12 atoms:
Tm 0.000 0.000 0.000
Tm 0.000 0.500 0.500
Tm 0.500 0.000 0.500
Tm 0.500 0.500 0.000
Hf 0.250 0.250 0.750
Hf 0.250 0.750 0.250
Hf 0.750 0.250 0.250
Hf 0.750 0.750 0.750
Np 0.000 0.000 0.500
Np 0.000 0.500 0.000
Np 0.500 0.000 0.000
Np 0.500 0.500 0.500

Symmetry: No. 216
E, eV per cell: -95.4
ΔE_f, meV/atom: 1118
Crystal system: cubic

No. 14
Here is an optimized crystal structure of Cu7Sb from the Open Quantum Materials Database. Energies are from GGA-PBE.

a = 2.752 Å, b = 2.752 Å, c = 37.433 Å
α = 90.00°, β = 90.00°, γ = 90.00°
Fractional coordinates of all 16 atoms:
Cu 0.250 0.250 0.021
Cu 0.250 0.250 0.105
Cu 0.250 0.250 0.189
Cu 0.250 0.250 0.274
Cu 0.250 0.250 0.769
Cu 0.250 0.250 0.853
Cu 0.250 0.250 0.937
Cu 0.750 0.750 0.063
Cu 0.750 0.750 0.147
Cu 0.750 0.750 0.231
Cu 0.750 0.750 0.726
Cu 0.750 0.750 0.811
Cu 0.750 0.750 0.895
Cu 0.750 0.750 0.979
Sb 0.250 0.250 0.668
Sb 0.750 0.750 0.332

Symmetry: No. 129
E, eV per cell: -58.2
Crystal system: tetragonal

No. 15
Here is an optimized crystal structure of Ho2Sc from the Open Quantum Materials Database. Energies are from GGA-PBE.

a = 8.834 Å, b = 8.834 Å, c = 8.834 Å
α = 60.00°, β = 60.00°, γ = 60.00°
Fractional coordinates of all 6 atoms:
Ho 0.000 0.000 0.000
Ho 0.000 0.000 0.500
Ho 0.000 0.500 0.000
Ho 0.500 0.000 0.000
Sc 0.125 0.125 0.125
Sc 0.875 0.875 0.875

Symmetry: No. 227
E, eV per cell: -16.3
ΔE_f, meV/atom: 2452
Crystal system: cubic

No. 16
Here is an optimized crystal structure of BeMoPt from the Open Quantum Materials Database. Energies are from GGA-PBE.

a = 5.766 Å, b = 5.766 Å, c = 5.766 Å
α = 90.00°, β = 90.00°, γ = 90.00°
Fractional coordinates of all 12 atoms:
Be 0.000 0.000 0.000
Be 0.000 0.500 0.500
Be 0.500 0.000 0.500
Be 0.500 0.500 0.000
Mo 0.000 0.000 0.500
Mo 0.000 0.500 0.000
Mo 0.500 0.000 0.000
Mo 0.500 0.500 0.500
Pt 0.250 0.250 0.250
Pt 0.250 0.750 0.750
Pt 0.750 0.250 0.750
Pt 0.750 0.750 0.250

Symmetry: No. 216
E, eV per cell: -82.5
Crystal system: cubic

No. 17
Here is an optimized crystal structure of TbPuBi from the Open Quantum Materials Database. Energies are from GGA-PBE.

a = 7.433 Å, b = 7.433 Å, c = 7.433 Å
α = 90.00°, β = 90.00°, γ = 90.00°
Fractional coordinates of all 12 atoms:
Tb 0.000 0.000 0.000
Tb 0.000 0.500 0.500
Tb 0.500 0.000 0.500
Tb 0.500 0.500 0.000
Pu 0.250 0.250 0.750
Pu 0.250 0.750 0.250
Pu 0.750 0.250 0.250
Pu 0.750 0.750 0.750
Bi 0.000 0.000 0.500
Bi 0.000 0.500 0.000
Bi 0.500 0.000 0.000
Bi 0.500 0.500 0.500

Symmetry: No. 216
E, eV per cell: -89.2
Crystal system: cubic

No. 18
Here is an optimized crystal structure of K2ZrTaO6 from the Open Quantum Materials Database. Energies are from GGA-PBE.

a = 5.790 Å, b = 5.790 Å, c = 5.790 Å
α = 59.88°, β = 59.88°, γ = 59.88°
Fractional coordinates of all 10 atoms:
K 0.250 0.250 0.250
K 0.750 0.750 0.750
Zr 0.000 0.000 0.000
Ta 0.500 0.500 0.500
O 0.256 0.743 0.258
O 0.257 0.742 0.744
O 0.258 0.256 0.743
O 0.742 0.744 0.257
O 0.743 0.258 0.256
O 0.744 0.257 0.742

Symmetry: No. 148
E, eV per cell: -77.8
Crystal system: trigonal

No. 19
Here is an optimized crystal structure of DyTc from the Open Quantum Materials Database. Energies are from GGA-PBE.

a = 6.064 Å, b = 6.064 Å, c = 6.064 Å
α = 90.00°, β = 90.00°, γ = 90.00°
Fractional coordinates of all 8 atoms:
Dy 0.000 0.000 0.000
Dy 0.000 0.500 0.500
Dy 0.500 0.000 0.500
Dy 0.500 0.500 0.000
Tc 0.250 0.250 0.750
Tc 0.250 0.750 0.250
Tc 0.750 0.250 0.250
Tc 0.750 0.750 0.750

Symmetry: No. 216
E, eV per cell: -44.6
ΔE_f, meV/atom: 1900
Crystal system: cubic

No. 20
Here is an optimized crystal structure of PmDyAg2 from the Open Quantum Materials Database. Energies are from GGA-PBE.

a = 3.640 Å, b = 3.640 Å, c = 7.444 Å
α = 90.00°, β = 90.00°, γ = 90.00°
Fractional coordinates of all 4 atoms:
Pm 0.000 0.000 0.000
Dy 0.000 0.000 0.500
Ag 0.500 0.500 0.266
Ag 0.500 0.500 0.734

Symmetry: No. 123
E, eV per cell: -16.2
ΔE_f, meV/atom: -309
Crystal system: tetragonal